SiSnSe2N | PBE | optimized geometry

```
5
Lattice="5.3464 0.0000 0.0000 0.0000 5.3464 0.0000 0.0000 0.0000 3.3223" Properties=species:S:1:pos:R:3 pbc="T T T"
Se 0.0000 2.6732 0.0000
Se 2.6732 0.0000 0.0000
N 0.0000 0.0000 1.6611
Si 0.0000 0.0000 0.0000
Sn 2.6732 2.6732 1.6611
```

Computed properties:
offset from the most stable computed form = 0.0 meV/atom
symmetry = P4/mmm (123)
D(E_F) = 0.4846 states/eV per atom
magnetic moment = 0.00 μB per cell
total DFT energy (no corrections) = -4.88 eV per atom